(1)
Entry from OQMD via LeMat-Bulk: an optimized crystal structure of HfTe2Pt (PBE-GGA).

Lattice parameters (Å, degrees): 7.080 7.080 7.080 90.00 90.00 90.00
Fractional positions:
Hf1 0.000 0.000 0.000
Hf2 0.000 0.500 0.500
Hf3 0.500 0.000 0.500
Hf4 0.500 0.500 0.000
Te1 0.000 0.000 0.500
Te2 0.000 0.500 0.000
Te3 0.250 0.250 0.250
Te4 0.250 0.750 0.750
Te5 0.500 0.000 0.000
Te6 0.500 0.500 0.500
Te7 0.750 0.250 0.750
Te8 0.750 0.750 0.250
Pt1 0.250 0.250 0.750
Pt2 0.250 0.750 0.250
Pt3 0.750 0.250 0.250
Pt4 0.750 0.750 0.750

## Properties
* calculated total energy: -89.50 eV per cell
* space group: F-43m
* total magnetic moment: 0.00 μB per formula unit

(2)
Entry from OQMD via LeMat-Bulk: an optimized crystal structure of HfThPt (PBE-GGA).

Lattice parameters (Å, degrees): 6.820 6.820 6.820 90.00 90.00 90.00
Fractional positions:
Hf1 0.000 0.000 0.000
Hf2 0.000 0.500 0.500
Hf3 0.500 0.000 0.500
Hf4 0.500 0.500 0.000
Th1 0.000 0.000 0.500
Th2 0.000 0.500 0.000
Th3 0.500 0.000 0.000
Th4 0.500 0.500 0.500
Pt1 0.250 0.250 0.250
Pt2 0.250 0.750 0.750
Pt3 0.750 0.250 0.750
Pt4 0.750 0.750 0.250

## Properties
* space group: F-43m
* total magnetic moment: 0.03 μB per formula unit
* energy relative to the elements: -0.40 eV/atom

(3)
Entry from OQMD via LeMat-Bulk: an optimized crystal structure of HfTlPt2 (PBE-GGA).

Lattice parameters (Å, degrees): 6.637 6.637 6.637 90.00 90.00 90.00
Fractional positions:
Hf1 0.000 0.000 0.000
Hf2 0.000 0.500 0.500
Hf3 0.500 0.000 0.500
Hf4 0.500 0.500 0.000
Tl1 0.250 0.250 0.750
Tl2 0.250 0.750 0.250
Tl3 0.750 0.250 0.250
Tl4 0.750 0.750 0.750
Pt1 0.000 0.000 0.500
Pt2 0.000 0.500 0.000
Pt3 0.250 0.250 0.250
Pt4 0.250 0.750 0.750
Pt5 0.500 0.000 0.000
Pt6 0.500 0.500 0.500
Pt7 0.750 0.250 0.750
Pt8 0.750 0.750 0.250

## Properties
* calculated total energy: -103.10 eV per cell
* space group: F-43m
* total magnetic moment: 0.00 μB per formula unit

(4)
Entry from OQMD via LeMat-Bulk: an optimized crystal structure of TmHfPt (PBE-GGA).

Lattice parameters (Å, degrees): 6.496 6.496 6.496 90.00 90.00 90.00
Fractional positions:
Tm1 0.000 0.000 0.000
Tm2 0.000 0.500 0.500
Tm3 0.500 0.000 0.500
Tm4 0.500 0.500 0.000
Hf1 0.250 0.250 0.750
Hf2 0.250 0.750 0.250
Hf3 0.750 0.250 0.250
Hf4 0.750 0.750 0.750
Pt1 0.250 0.250 0.250
Pt2 0.250 0.750 0.750
Pt3 0.750 0.250 0.750
Pt4 0.750 0.750 0.250

## Properties
* space group: F-43m
* total magnetic moment: 0.00 μB per formula unit
* energy relative to the elements: 0.30 eV/atom

(5)
Entry from OQMD via LeMat-Bulk: an optimized crystal structure of TmHfZn2Pt4 (PBE-GGA).

Lattice parameters (Å, degrees): 4.597 4.597 6.497 90.00 90.00 90.00
Fractional positions:
Tm1 0.000 0.000 0.000
Hf1 0.500 0.500 0.500
Zn1 0.000 0.000 0.500
Zn2 0.500 0.500 0.000
Pt1 0.000 0.500 0.263
Pt2 0.000 0.500 0.737
Pt3 0.500 0.000 0.263
Pt4 0.500 0.000 0.737

## Properties
* space group: P4/mmm
* total magnetic moment: 0.00 μB per formula unit
* energy relative to the elements: -0.90 eV/atom

(6)
Entry from OQMD via LeMat-Bulk: an optimized crystal structure of HfUPt (PBE-GGA).

Lattice parameters (Å, degrees): 6.597 6.597 6.597 90.00 90.00 90.00
Fractional positions:
Hf1 0.000 0.000 0.000
Hf2 0.000 0.500 0.500
Hf3 0.500 0.000 0.500
Hf4 0.500 0.500 0.000
U1 0.000 0.000 0.500
U2 0.000 0.500 0.000
U3 0.500 0.000 0.000
U4 0.500 0.500 0.500
Pt1 0.250 0.250 0.250
Pt2 0.250 0.750 0.750
Pt3 0.750 0.250 0.750
Pt4 0.750 0.750 0.250

## Properties
* excess energy over the best structure of this formula in the dataset: 0.00 eV/f.u.
* space group: F-43m
* total magnetic moment: 3.26 μB per formula unit
* energy relative to the elements: -0.08 eV/atom